# PBE Ac7TlPt5, optimized geometry
data_Ac7TlPt5
_chemical_formula_sum 'Ac28 Tl4 Pt20'
_cell_length_a 4.396
_cell_length_b 14.778
_cell_length_c 26.537
_cell_angle_alpha 90.00
_cell_angle_beta 90.00
_cell_angle_gamma 90.00
_symmetry_space_group_name_H-M 'C m c m'
_symmetry_Int_Tables_number 63
_symmetry_space_group_name_Hall '-C 2c 2'
loop_
_atom_site_label
_atom_site_type_symbol
_atom_site_fract_x
_atom_site_fract_y
_atom_site_fract_z
Ac1 Ac 0.000 0.028 0.250
Ac2 Ac 0.000 0.135 0.535
Ac3 Ac 0.000 0.324 0.169
Ac4 Ac 0.000 0.408 0.604
Tl1 Tl 0.000 0.295 0.750
Pt1 Pt 0.000 0.042 0.643
Pt2 Pt 0.000 0.227 0.071
Pt3 Pt 0.000 0.500 0.000
# - ρ (Mg/m³) = 10.7
# - energy relative to the elements (meV per atom) = -986
# - E (Ha/atom) = -0.210